(1)
# KTlS2 GGA-PBE relaxed
# Density of states at the Fermi level: 0.0 states/eV per cell
# V: 33.755 Å³ per atom
# Crystal system: monoclinic
# Energy above the most stable polymorph in this dataset: 98 meV/atom
# VASP energy: -221.565 eV for the cell shown
data_KTlS2
_cell_length_a 11.787
_cell_length_b 11.783
_cell_length_c 15.577
_cell_angle_alpha 90.00
_cell_angle_beta 93.02
_cell_angle_gamma 90.00
_symmetry_space_group_name_H-M 'C 1 2/c 1'
_symmetry_Int_Tables_number 15
loop_
_symmetry_equiv_pos_as_xyz
'x,y,z'
'-x,-y,-z'
'-x,y,-z+1/2'
'x,-y,z+1/2'
'x+1/2,y+1/2,z'
'-x+1/2,-y+1/2,-z'
'-x+1/2,y+1/2,-z+1/2'
'x+1/2,-y+1/2,z+1/2'
loop_
_atom_site_label
_atom_site_type_symbol
_atom_site_fract_x
_atom_site_fract_y
_atom_site_fract_z
_atom_site_occupancy
K1 K 0.113 0.025 0.406 1
K2 K 0.139 0.273 0.612 1
Tl1 Tl 0.016 0.324 0.384 1
Tl2 Tl 0.225 0.350 0.882 1
S1 S 0.000 0.184 0.250 1
S2 S 0.000 0.426 0.750 1
S3 S 0.069 0.198 0.001 1
S4 S 0.121 0.474 0.197 1
S5 S 0.196 0.417 0.444 1

=====

(2)
# KLiPb2 GGA-PBE relaxed
# Density of states at the Fermi level: 4.1 states/eV per cell
# V: 30.314 Å³ per atom
# Crystal system: orthorhombic
# Energy above the most stable polymorph in this dataset: 172 meV/atom
# VASP energy: -21.267 eV for the cell shown
data_KLiPb2
_cell_length_a 6.741
_cell_length_b 10.521
_cell_length_c 3.420
_cell_angle_alpha 90.00
_cell_angle_beta 90.00
_cell_angle_gamma 90.00
_symmetry_space_group_name_H-M 'C m m m'
_symmetry_Int_Tables_number 65
_symmetry_space_group_name_Hall '-C 2 2'
loop_
_atom_site_label
_atom_site_type_symbol
_atom_site_fract_x
_atom_site_fract_y
_atom_site_fract_z
_atom_site_occupancy
K1 K 0.000 0.000 0.000 1
Li1 Li 0.000 0.500 0.000 1
Pb1 Pb 0.250 0.250 0.500 1

=====

(3)
# SiTcRuW GGA-PBE relaxed
# Density of states at the Fermi level: 11.7 states/eV per cell
# V: 14.141 Å³ per atom
# Crystal system: cubic
# VASP energy: -155.009 eV for the cell shown
data_SiTcRuW
_cell_length_a 6.094
_cell_length_b 6.094
_cell_length_c 6.094
_cell_angle_alpha 90.00
_cell_angle_beta 90.00
_cell_angle_gamma 90.00
_symmetry_space_group_name_H-M 'F -4 3 m'
_symmetry_Int_Tables_number 216
_symmetry_space_group_name_Hall 'F -4 2 3'
loop_
_atom_site_label
_atom_site_type_symbol
_atom_site_fract_x
_atom_site_fract_y
_atom_site_fract_z
_atom_site_occupancy
Si1 Si 0.000 0.000 0.000 1
Tc1 Tc 0.250 0.250 0.750 1
Ru1 Ru 0.250 0.250 0.250 1
W1 W 0.000 0.000 0.500 1